# 1
Density functional theory data (GGA-PBEsol) for a relaxed ZrTaCN crystal.

total energy: -0.8222 Ry/atom
calculated density: 10.8 g/cm3

a b c (Å): 3.180 3.180 5.543
angles (deg): 73.33 73.33 60.00
Positions (direct):
1 C 0.995 0.995 0.014
2 N 0.504 0.504 0.488
3 Zr 0.748 0.748 0.757
4 Ta 0.253 0.253 0.241

***

# 2
Density functional theory data (GGA-PBEsol) for a relaxed Tc2CN crystal.

total energy: -0.7009 Ry/atom
calculated density: 10.0 g/cm3

a b c (Å): 3.731 3.731 3.731
angles (deg): 60.00 60.00 60.00
Positions (direct):
1 C 0.000 0.000 0.000
2 Tc 0.250 0.250 0.250
3 Tc 0.750 0.750 0.750
4 N 0.500 0.500 0.500

***

Which of these has the highest total energy? Tc2CN

***

Among the records above, which one has the lowest calculated density? Tc2CN

***

What did the second record say?
Density functional theory data (GGA-PBEsol) for a relaxed Tc2CN crystal.

total energy: -0.7009 Ry/atom
calculated density: 10.0 g/cm3

a b c (Å): 3.731 3.731 3.731
angles (deg): 60.00 60.00 60.00
Positions (direct):
1 C 0.000 0.000 0.000
2 Tc 0.250 0.250 0.250
3 Tc 0.750 0.750 0.750
4 N 0.500 0.500 0.500